Computed, not measured: a relaxed structure of CaSbPdC2 at the GGA-PBE level of DFT.

abc: 4.3786 4.3786 5.8352
angles: 90.00 90.00 90.00
Space group P4/mmm (No. 123)
Symmetry-distinct sites (fractional):
Ca (0.0000, 0.0000, 0.0000) [1 per cell]
Sb (0.0000, 0.0000, 0.5000) [1 per cell]
Pd (0.5000, 0.5000, 0.5000) [1 per cell]
C (0.0000, 0.5000, 0.0000) [2 per cell]

Summary:
Formation energy without anion corrections: 2486 meV/atom
Total magnetization: 1.19 μB/f.u.
Mass density: 4.3 g cm⁻³

=====

Computed, not measured: a relaxed structure of CaTePd2C at the GGA-PBE level of DFT.

abc: 4.9811 4.9811 5.9460
angles: 90.00 90.00 90.00
Space group P4/mmm (No. 123)
Symmetry-distinct sites (fractional):
Ca (0.0000, 0.0000, 0.0000) [1 per cell]
Te (0.0000, 0.0000, 0.5000) [1 per cell]
Pd (0.0000, 0.5000, 0.5000) [2 per cell]
C (0.5000, 0.5000, 0.0000) [1 per cell]

Summary:
Formation energy without anion corrections: 1159 meV/atom
Total magnetization: 2.09 μB/f.u.
Mass density: 4.4 g cm⁻³

=====

Computed, not measured: a relaxed structure of CaPm2C at the GGA-PBE level of DFT.

abc: 3.7077 3.7077 29.3122
angles: 90.00 90.00 120.00
Space group R-3m (No. 166, hexagonal axes)
Symmetry-distinct sites (fractional):
Ca (0.0000, 0.0000, 0.0000) [3 per cell]
Pm (0.0000, 0.0000, 0.2142) [6 per cell]
C (0.0000, 0.0000, 0.5000) [3 per cell]

Summary:
Energy of formation: -34 kJ/mol of formula units
Total magnetization: 0.00 μB/f.u.
Mass density: 4.9 g cm⁻³

=====

Computed, not measured: a relaxed structure of CaPm2C at the GGA-PBE level of DFT.

abc: 3.6647 3.6647 9.7248
angles: 90.00 90.00 120.00
Space group P-6m2 (No. 187)
Symmetry-distinct sites (fractional):
Ca (0.0000, 0.0000, 0.0000) [1 per cell]
Pm (0.6667, 0.3333, 0.3486) [2 per cell]
C (0.3333, 0.6667, 0.5000) [1 per cell]

Summary:
Energy of formation: 50 kJ/mol of formula units
Total magnetization: 0.00 μB/f.u.
Mass density: 5.0 g cm⁻³

=====

- Which value of total magnetization does entry 4 give?
  0.00 μB/f.u.

=====

- Look up the total magnetization of the second one.
  2.09 μB/f.u.

=====

What did the second record say?
Computed, not measured: a relaxed structure of CaTePd2C at the GGA-PBE level of DFT.

abc: 4.9811 4.9811 5.9460
angles: 90.00 90.00 90.00
Space group P4/mmm (No. 123)
Symmetry-distinct sites (fractional):
Ca (0.0000, 0.0000, 0.0000) [1 per cell]
Te (0.0000, 0.0000, 0.5000) [1 per cell]
Pd (0.0000, 0.5000, 0.5000) [2 per cell]
C (0.5000, 0.5000, 0.0000) [1 per cell]

Summary:
Formation energy without anion corrections: 1159 meV/atom
Total magnetization: 2.09 μB/f.u.
Mass density: 4.4 g cm⁻³